DFT (PBE-GGA) results for a relaxed TmCdFe crystal.

a = 4.719 Å, b = 4.719 Å, c = 4.719 Å
α = 60.00°, β = 60.00°, γ = 60.00°
Positions (direct):
Tm (0.000, 0.000, 0.000)
Cd (0.750, 0.750, 0.750)
Fe (0.250, 0.250, 0.250)

Crystal system: cubic
Energy of formation from the pure elements: 2.4 eV per formula unit

---

DFT (PBE-GGA) results for a relaxed MgNbB4 crystal.

a = 4.599 Å, b = 4.599 Å, c = 4.599 Å
α = 141.08°, β = 109.28°, γ = 83.79°
Positions (direct):
Mg (0.000, 0.000, 0.000)
Nb (0.500, 0.500, 0.000)
B (0.084, 0.749, 0.335)
B (0.414, 0.749, 0.665)
B (0.586, 0.251, 0.335)
B (0.916, 0.251, 0.665)

Energy: -41.12 eV for the cell shown
Crystal system: orthorhombic

---

DFT (PBE-GGA) results for a relaxed Pu2I3N crystal.

a = 10.372 Å, b = 10.372 Å, c = 12.423 Å
α = 125.42°, β = 125.42°, γ = 22.30°
Positions (direct):
Pu (0.068, 0.068, 0.462)
Pu (0.374, 0.374, 0.234)
Pu (0.626, 0.626, 0.766)
Pu (0.932, 0.932, 0.538)
I (0.170, 0.170, 0.004)
I (0.286, 0.286, 0.377)
I (0.466, 0.466, 0.760)
I (0.534, 0.534, 0.240)
I (0.714, 0.714, 0.623)
I (0.830, 0.830, 0.996)
N (0.067, 0.067, 0.641)
N (0.933, 0.933, 0.359)

Energy: -97.42 eV for the cell shown
Crystal system: monoclinic

---

DFT (PBE-GGA) results for a relaxed GdUCo crystal.

a = 4.606 Å, b = 4.606 Å, c = 4.606 Å
α = 60.00°, β = 60.00°, γ = 60.00°
Positions (direct):
Gd (0.000, 0.000, 0.000)
U (0.500, 0.500, 0.500)
Co (0.250, 0.250, 0.250)

Crystal system: cubic
Energy of formation from the pure elements: 1.2 eV per formula unit

---

DFT (PBE-GGA) results for a relaxed TaBeCoAs crystal.

a = 4.225 Å, b = 4.225 Å, c = 4.225 Å
α = 60.00°, β = 60.00°, γ = 60.00°
Positions (direct):
Ta (0.000, 0.000, 0.000)
Be (0.250, 0.250, 0.250)
Co (0.750, 0.750, 0.750)
As (0.500, 0.500, 0.500)

Energy: -26.11 eV for the cell shown
Crystal system: cubic

---

DFT (PBE-GGA) results for a relaxed NiBi2W crystal.

a = 4.929 Å, b = 4.929 Å, c = 4.929 Å
α = 60.00°, β = 60.00°, γ = 60.00°
Positions (direct):
Ni (0.000, 0.000, 0.000)
Bi (0.250, 0.250, 0.250)
Bi (0.500, 0.500, 0.500)
W (0.750, 0.750, 0.750)

Energy: -22.09 eV for the cell shown
Crystal system: cubic

---

DFT (PBE-GGA) results for a relaxed PrBiAsO crystal.

a = 4.922 Å, b = 4.922 Å, c = 7.738 Å
α = 90.00°, β = 90.00°, γ = 90.00°
Positions (direct):
Pr (0.250, 0.750, 0.000)
Pr (0.750, 0.250, 0.000)
Bi (0.250, 0.250, 0.429)
Bi (0.750, 0.750, 0.571)
As (0.250, 0.250, 0.795)
As (0.750, 0.750, 0.205)
O (0.250, 0.750, 0.500)
O (0.750, 0.250, 0.500)

Energy: -42.40 eV for the cell shown
Crystal system: tetragonal

---

DFT (PBE-GGA) results for a relaxed NbTlNiPd crystal.

a = 4.544 Å, b = 4.544 Å, c = 4.544 Å
α = 60.00°, β = 60.00°, γ = 60.00°
Positions (direct):
Nb (0.000, 0.000, 0.000)
Tl (0.500, 0.500, 0.500)
Ni (0.750, 0.750, 0.750)
Pd (0.250, 0.250, 0.250)

Energy: -23.06 eV for the cell shown
Crystal system: cubic